The following is a DFT calculation (GGA-PBE) of a relaxed Nd2YN crystal.

Properties
E_tot	-6.62	eV per atom
space-group type	R-3m, No. 166

a = 3.5867 Å, b = 3.5867 Å, c = 9.9151 Å
α = 79.58°, β = 79.58°, γ = 60.00°
Closest atoms and distances in Å follow each position.
Fractional positions:
1 Y 0.0000 0.0000 0.0000  2 Nd 3.47, 6 Y 3.59
2 Nd 0.1191 0.1191 0.6426  3 N 2.49
3 Nd 0.8809 0.8809 0.3574  3 N 2.49
4 N 0.5000 0.5000 0.5000  6 Nd 2.49

=====

The following is a DFT calculation (GGA-PBE) of a relaxed InSi2Pt2 crystal.

Properties
E_tot	-5.53	eV per atom
space-group type	I4/mmm, No. 139

a = 4.3809 Å, b = 4.3809 Å, c = 5.5676 Å
α = 66.83°, β = 66.83°, γ = 90.00°
Closest atoms and distances in Å follow each position.
Fractional positions:
1 Si 0.3727 0.3727 0.2546  1 Si 2.36, 4 Pt 2.47
2 Si 0.6273 0.6273 0.7454  1 Si 2.36, 4 Pt 2.47
3 Pt 0.7500 0.2500 0.5000  4 Si 2.47
4 Pt 0.2500 0.7500 0.5000  4 Si 2.47
5 In 0.0000 0.0000 0.0000  8 Pt 3.19, 10 Si 3.31-3.45

=====

The following is a DFT calculation (GGA-PBE) of a relaxed SrBOs crystal.

Properties
space-group type	I4/mmm, No. 139
E above lowest polymorph	0.64	eV per formula unit
calculated formation energy	0.0201	eV/atom

a = 3.9563 Å, b = 3.9563 Å, c = 9.2098 Å
α = 102.40°, β = 102.40°, γ = 90.00°
Closest atoms and distances in Å follow each position.
Fractional positions:
1 B 0.0526 0.0526 0.1053  1 B 1.85
2 B 0.9474 0.9474 0.8947  1 B 1.85
3 Sr 0.3574 0.3574 0.7148  4 Os 3.19, 4 B 3.21
4 Sr 0.6426 0.6426 0.2852  4 Os 3.19, 4 B 3.21
5 Os 0.5000 0.0000 0.0000  4 B 2.18
6 Os 0.0000 0.5000 0.0000  4 B 2.18

=====

The following is a DFT calculation (GGA-PBE) of a relaxed Bi2IrCO crystal.

Properties
E_tot	-5.43	eV per atom
space-group type	P4/mmm, No. 123

a = 5.1241 Å, b = 3.7915 Å, c = 5.1241 Å
α = 90.00°, β = 90.00°, γ = 90.00°
Closest atoms and distances in Å follow each position.
Fractional positions:
1 C 0.0000 0.0000 0.0000  2 Ir 1.90
2 Ir 0.0000 0.5000 0.0000  2 C 1.90
3 Bi 0.0000 0.0000 0.5000  2 C 2.56
4 Bi 0.5000 0.0000 0.0000  2 C 2.56
5 O 0.5000 0.5000 0.5000  8 Bi 3.19

=====

The following is a DFT calculation (GGA-PBE) of a relaxed RbTe2N2 crystal.

Properties
space-group type	P4/mmm, No. 123
E above lowest polymorph	4.16	eV per formula unit

a = 5.0169 Å, b = 5.0169 Å, c = 7.4779 Å
α = 90.00°, β = 90.00°, γ = 90.00°
Closest atoms and distances in Å follow each position.
Fractional positions:
1 Te 0.5000 0.5000 0.5000  4 Te 3.55
2 Te 0.0000 0.0000 0.5000  4 Te 3.55, 2 Rb 3.74
3 Rb 0.0000 0.0000 0.0000  4 N 2.51
4 N 0.0000 0.5000 0.0000  2 Rb 2.51
5 N 0.5000 0.0000 0.0000  2 Rb 2.51

=====

The following is a DFT calculation (GGA-PBE) of a relaxed Ac8Cd3Os2 crystal.

Properties
space-group type	C2/m, No. 12
calculated formation energy	-0.0664	eV/atom

a = 7.0940 Å, b = 8.6663 Å, c = 9.4215 Å
α = 117.38°, β = 89.58°, γ = 90.00°
Closest atoms and distances in Å follow each position.
Fractional positions:
1 Ac 0.1703 0.6261 0.2522  1 Os 2.90
2 Ac 0.8297 0.3739 0.7478  1 Os 2.90
3 Ac 0.1713 0.1639 0.3278  1 Os 2.98
4 Ac 0.8287 0.8361 0.6722  1 Os 2.98
5 Ac 0.3341 0.0882 0.6951  2 Os 2.95-2.98
6 Ac 0.3341 0.6068 0.6951  2 Os 2.95-2.98
7 Ac 0.6659 0.3932 0.3049  2 Os 2.95-2.98
8 Ac 0.6659 0.9118 0.3049  2 Os 2.95-2.98
9 Cd 0.5000 0.0000 0.0000  6 Ac 3.51-3.58, 4 Cd 3.91
10 Cd 0.0000 0.8113 0.0000  1 Cd 3.27, 6 Ac 3.42-3.64
11 Cd 0.0000 0.1887 0.0000  1 Cd 3.27, 6 Ac 3.42-3.64
12 Os 0.5174 0.2635 0.5270  6 Ac 2.90-2.98
13 Os 0.4826 0.7365 0.4730  6 Ac 2.90-2.98

=====

The following is a DFT calculation (GGA-PBE) of a relaxed Sc3RhS crystal.

Properties
space-group type	Pm-3m, No. 221
E above lowest polymorph	1.37	eV per formula unit

a = 4.9766 Å, b = 4.9766 Å, c = 4.9766 Å
α = 90.00°, β = 90.00°, γ = 90.00°
Closest atoms and distances in Å follow each position.
Fractional positions:
1 Sc 0.0000 0.5000 0.0000  2 Rh 2.49
2 Sc 0.0000 0.0000 0.5000  2 Rh 2.49
3 Sc 0.5000 0.0000 0.0000  2 Rh 2.49
4 S 0.5000 0.5000 0.5000  12 Sc 3.52
5 Rh 0.0000 0.0000 0.0000  6 Sc 2.49

=====

The following is a DFT calculation (GGA-PBE) of a relaxed CsPdPb2 crystal.

Properties
space-group type	P4/mmm, No. 123
calculated formation energy	-0.1694	eV/atom

a = 3.6263 Å, b = 3.6263 Å, c = 9.2048 Å
α = 90.00°, β = 90.00°, γ = 90.00°
Closest atoms and distances in Å follow each position.
Fractional positions:
1 Pb 0.0000 0.0000 0.8283  4 Pd 3.01, 1 Pb 3.16
2 Pb 0.0000 0.0000 0.1717  4 Pd 3.01, 1 Pb 3.16
3 Cs 0.5000 0.5000 0.5000  4 Cs 3.63, 8 Pb 3.96
4 Pd 0.5000 0.5000 0.0000  8 Pb 3.01

=====

The following is a DFT calculation (GGA-PBE) of a relaxed Dy2CdHgAu4 crystal.

Properties
space-group type	R-3m, No. 166
calculated formation energy	-0.6392	eV/atom

a = 4.9488 Å, b = 4.9488 Å, c = 8.5229 Å
α = 73.12°, β = 73.12°, γ = 60.00°
Closest atoms and distances in Å follow each position.
Fractional positions:
1 Dy 0.7519 0.7519 0.7443  8 Au 2.99-3.06
2 Dy 0.2481 0.2481 0.2557  8 Au 2.99-3.06
3 Cd 0.0000 0.0000 0.0000  8 Au 2.94-3.01
4 Hg 0.5000 0.5000 0.5000  8 Au 3.05-3.06
5 Au 0.3730 0.3730 0.8810  4 Dy 3.01-3.06, 3 Cd 3.01, 1 Hg 3.06
6 Au 0.8780 0.8780 0.3658  1 Cd 2.94, 4 Dy 2.99-3.04, 3 Hg 3.05
7 Au 0.1220 0.1220 0.6342  1 Cd 2.94, 4 Dy 2.99-3.04, 3 Hg 3.05
8 Au 0.6270 0.6270 0.1190  4 Dy 3.01-3.06, 3 Cd 3.01, 1 Hg 3.06

=====

The following is a DFT calculation (GGA-PBE) of a relaxed BC2 crystal.

Properties
space-group type	C222_1, No. 20
E above lowest polymorph	0.32	eV per formula unit
calculated formation energy	0.3471	eV/atom

a = 6.1806 Å, b = 6.1806 Å, c = 3.5746 Å
α = 90.00°, β = 90.00°, γ = 145.77°
Closest atoms and distances in Å follow each position.
Fractional positions:
1 B 0.1840 0.3160 0.2500  2 C 1.56
2 B 0.3676 0.7009 0.0000  2 C 1.67, 2 B 1.81
3 B 0.9826 0.5174 0.7500  2 C 1.56
4 B 0.7991 0.1324 0.5000  2 C 1.67, 2 B 1.81
5 C 0.1655 0.8459 0.4930  3 C 1.52-1.56, 1 B 1.56
6 C 0.8329 0.6671 0.2500  4 C 1.56
7 C 0.5125 0.4988 0.5070  3 C 1.52-1.56, 1 B 1.56
8 C 0.4841 0.0159 0.2500  2 C 1.52, 2 B 1.67
9 C 0.6541 0.3345 0.0070  3 C 1.52-1.56, 1 B 1.56
10 C 0.3338 0.1662 0.7500  4 C 1.56
11 C 0.0012 0.9875 0.9930  3 C 1.52-1.56, 1 B 1.56
12 C 0.6825 0.8175 0.7500  2 C 1.52, 2 B 1.67

=====

The following is a DFT calculation (GGA-PBE) of a relaxed TbTmHf crystal.

Properties
space-group type	P4/nmm, No. 129
E above lowest polymorph	0.32	eV per formula unit
calculated formation energy	0.2178	eV/atom

a = 4.6199 Å, b = 4.6199 Å, c = 8.1662 Å
α = 90.00°, β = 90.00°, γ = 90.00°
Closest atoms and distances in Å follow each position.
Fractional positions:
1 Hf 0.0000 0.0000 0.0000  4 Tm 3.26, 4 Hf 3.27, 4 Tb 3.31
2 Hf 0.5000 0.5000 0.0000  4 Tm 3.26, 4 Hf 3.27, 4 Tb 3.31
3 Tm 0.0000 0.5000 0.7184  4 Hf 3.26, 5 Tb 3.27-3.50
4 Tm 0.5000 0.0000 0.2816  4 Hf 3.26, 5 Tb 3.27-3.50
5 Tb 0.0000 0.5000 0.2904  5 Tm 3.27-3.50, 4 Hf 3.31
6 Tb 0.5000 0.0000 0.7096  5 Tm 3.27-3.50, 4 Hf 3.31

=====

The following is a DFT calculation (GGA-PBE) of a relaxed Dy3PbSe crystal.

Properties
E_tot	-5.08	eV per atom
space-group type	P2_1/m, No. 11

a = 4.2589 Å, b = 8.0734 Å, c = 8.6046 Å
α = 99.00°, β = 90.00°, γ = 90.00°
Closest atoms and distances in Å follow each position.
Fractional positions:
1 Dy 0.7500 0.6100 0.3713  2 Se 2.88, 2 Pb 3.14
2 Dy 0.2500 0.3900 0.6287  2 Se 2.88, 2 Pb 3.14
3 Dy 0.7500 0.3221 0.9648  1 Se 2.86, 2 Pb 3.16
4 Dy 0.2500 0.9260 0.6847  3 Se 2.83-2.86, 2 Pb 3.16
5 Dy 0.2500 0.6779 0.0352  1 Se 2.86, 2 Pb 3.16
6 Dy 0.7500 0.0740 0.3153  3 Se 2.83-2.86, 2 Pb 3.16
7 Pb 0.2500 0.3383 0.2387  8 Dy 3.14-3.48
8 Pb 0.7500 0.6617 0.7613  8 Dy 3.14-3.48
9 Se 0.2500 0.8465 0.3529  6 Dy 2.83-2.88
10 Se 0.7500 0.1535 0.6471  6 Dy 2.83-2.88

=====

The following is a DFT calculation (GGA-PBE) of a relaxed Tb4Cd5Ag crystal.

Properties
space-group type	C2/m, No. 12
E above lowest polymorph	0.00	eV per formula unit
calculated formation energy	-0.2847	eV/atom

a = 5.1301 Å, b = 6.4945 Å, c = 8.2619 Å
α = 105.90°, β = 108.09°, γ = 90.00°
Closest atoms and distances in Å follow each position.
Fractional positions:
1 Tb 0.6889 0.3056 0.3778  1 Ag 3.06, 7 Cd 3.10-3.32
2 Tb 0.0962 0.8898 0.1924  6 Cd 3.12-3.38, 2 Ag 3.16
3 Tb 0.3111 0.6944 0.6222  1 Ag 3.06, 7 Cd 3.10-3.32
4 Tb 0.9038 0.1102 0.8076  6 Cd 3.12-3.38, 2 Ag 3.16
5 Cd 0.2993 0.1959 0.5985  7 Tb 3.18-3.32, 1 Cd 3.20
6 Cd 0.0996 0.4121 0.1992  6 Tb 3.10-3.38, 2 Cd 3.14
7 Cd 0.9004 0.5879 0.8008  6 Tb 3.10-3.38, 2 Cd 3.14
8 Cd 0.5000 0.5000 0.0000  6 Cd 3.14-3.20, 2 Ag 3.25
9 Cd 0.7007 0.8041 0.4015  7 Tb 3.18-3.32, 1 Cd 3.20
10 Ag 0.5000 0.0000 0.0000  6 Tb 3.06-3.16, 2 Cd 3.25

=====

The following is a DFT calculation (GGA-PBE) of a relaxed HoZr7Al4 crystal.

Properties
space-group type	P-1, No. 2
calculated formation energy	-0.1892	eV/atom

a = 5.9506 Å, b = 10.0109 Å, c = 5.7081 Å
α = 76.48°, β = 84.15°, γ = 51.30°
Closest atoms and distances in Å follow each position.
Fractional positions:
1 Ho 0.0000 0.0000 0.0000  2 Al 2.96, 4 Zr 2.98-3.12
2 Zr 0.7795 0.9629 0.5126  3 Al 2.89-3.20, 5 Zr 2.93-3.13, 1 Ho 3.12
3 Zr 0.2205 0.0371 0.4874  3 Al 2.89-3.20, 5 Zr 2.93-3.13, 1 Ho 3.12
4 Zr 0.0146 0.6368 0.3183  4 Al 2.90-3.20, 5 Zr 3.08-3.18
5 Zr 0.9854 0.3632 0.6817  4 Al 2.90-3.20, 5 Zr 3.08-3.18
6 Zr 0.2735 0.6047 0.8080  5 Al 2.87-3.10, 4 Zr 2.91-3.18
7 Zr 0.5000 0.0000 0.0000  2 Al 2.93, 2 Ho 2.98, 4 Zr 3.07-3.17
8 Zr 0.7265 0.3953 0.1920  5 Al 2.87-3.10, 4 Zr 2.91-3.18
9 Al 0.5389 0.2919 0.6332  6 Zr 2.87-3.20, 1 Ho 2.96, 1 Al 3.00
10 Al 0.4611 0.7081 0.3668  6 Zr 2.87-3.20, 1 Ho 2.96, 1 Al 3.00
11 Al 0.6844 0.6940 0.8268  7 Zr 2.90-3.20, 2 Al 3.00-3.23
12 Al 0.3156 0.3060 0.1732  7 Zr 2.90-3.20, 2 Al 3.00-3.23

=====

The following is a DFT calculation (GGA-PBE) of a relaxed NaAg3Hg crystal.

Properties
space-group type	Pm-3m, No. 221
E above lowest polymorph	2.98	eV per formula unit
calculated formation energy	0.7099	eV/atom

a = 5.0469 Å, b = 5.0469 Å, c = 5.0469 Å
α = 90.00°, β = 90.00°, γ = 90.00°
Closest atoms and distances in Å follow each position.
Fractional positions:
1 Na 0.0000 0.0000 0.0000  6 Ag 2.52
2 Hg 0.5000 0.5000 0.5000  12 Ag 3.57
3 Ag 0.0000 0.5000 0.0000  2 Na 2.52
4 Ag 0.0000 0.0000 0.5000  2 Na 2.52
5 Ag 0.5000 0.0000 0.0000  2 Na 2.52

=====

The following is a DFT calculation (GGA-PBE) of a relaxed Th8Te4PIr3 crystal.

Properties
E_tot	-7.65	eV per atom
space-group type	R-3m, No. 166

a = 8.4767 Å, b = 8.9835 Å, c = 8.4769 Å
α = 118.15°, β = 120.00°, γ = 90.00°
Closest atoms and distances in Å follow each position.
Fractional positions:
1 Th 0.2383 0.7078 0.9695  2 Ir 2.89, 1 P 2.93
2 Th 0.2383 0.7078 0.4766  2 Ir 2.89, 1 P 2.93
3 Th 0.2669 0.3006 0.5337  3 Ir 2.87
4 Th 0.7312 0.7078 0.9695  2 Ir 2.89, 1 P 2.93
5 Th 0.2688 0.2922 0.0305  2 Ir 2.89, 1 P 2.93
6 Th 0.7331 0.6994 0.4663  3 Ir 2.87
7 Th 0.7617 0.2922 0.5234  2 Ir 2.89, 1 P 2.93
8 Th 0.7617 0.2922 0.0305  2 Ir 2.89, 1 P 2.93
9 Te 0.5000 0.0000 0.0000  6 Th 3.27
10 Te 0.5000 0.0000 0.5000  6 Th 3.30-3.33
11 Te 0.0000 0.0000 0.0000  6 Th 3.30-3.33
12 Te 0.0000 0.0000 0.5000  6 Th 3.30-3.33
13 P 0.0000 0.5000 0.0000  6 Th 2.93
14 Ir 0.5000 0.5000 0.0000  6 Th 2.87-2.89
15 Ir 0.5000 0.5000 0.5000  6 Th 2.87-2.89
16 Ir 0.0000 0.5000 0.5000  6 Th 2.87-2.89

=====

The following is a DFT calculation (GGA-PBE) of a relaxed LiP3O crystal.

Properties
space-group type	Pm-3m, No. 221
E above lowest polymorph	0.00	eV per formula unit

a = 4.1778 Å, b = 4.1778 Å, c = 4.1778 Å
α = 90.00°, β = 90.00°, γ = 90.00°
Closest atoms and distances in Å follow each position.
Fractional positions:
1 P 0.0000 0.5000 0.0000  2 O 2.09
2 P 0.0000 0.0000 0.5000  2 O 2.09
3 P 0.5000 0.0000 0.0000  2 O 2.09
4 O 0.0000 0.0000 0.0000  6 P 2.09
5 Li 0.5000 0.5000 0.5000  12 P 2.95

=====

The following is a DFT calculation (GGA-PBE) of a relaxed NbMoAs2Br crystal.

Properties
space-group type	P4/mmm, No. 123
E above lowest polymorph	0.00	eV per formula unit

a = 5.0219 Å, b = 5.0219 Å, c = 5.1485 Å
α = 90.00°, β = 90.00°, γ = 90.00°
Closest atoms and distances in Å follow each position.
Fractional positions:
1 As 0.0000 0.5000 0.0000  2 Nb 2.51
2 As 0.5000 0.0000 0.0000  2 Nb 2.51
3 Mo 0.5000 0.5000 0.5000  4 Br 3.55, 8 As 3.60
4 Nb 0.0000 0.0000 0.0000  4 As 2.51, 2 Br 2.57
5 Br 0.0000 0.0000 0.5000  2 Nb 2.57

=====

The following is a DFT calculation (GGA-PBE) of a relaxed CsTl2Ga2 crystal.

Properties
space-group type	I4/mmm, No. 139
E above lowest polymorph	0.16	eV per formula unit
calculated formation energy	-0.0104	eV/atom

a = 5.0255 Å, b = 5.0255 Å, c = 7.2891 Å
α = 69.84°, β = 69.84°, γ = 90.00°
Closest atoms and distances in Å follow each position.
Fractional positions:
1 Cs 0.0000 0.0000 0.0000  8 Tl 3.91, 8 Ga 4.05
2 Tl 0.3721 0.3721 0.2559  4 Ga 2.95, 1 Tl 3.26
3 Tl 0.6279 0.6279 0.7441  4 Ga 2.95, 1 Tl 3.26
4 Ga 0.7500 0.2500 0.5000  4 Tl 2.95
5 Ga 0.2500 0.7500 0.5000  4 Tl 2.95

=====

The following is a DFT calculation (GGA-PBE) of a relaxed LiCaTiBi2 crystal.

Properties
space-group type	P4/mmm, No. 123
calculated formation energy	0.8508	eV/atom

a = 5.7195 Å, b = 4.8227 Å, c = 5.7195 Å
α = 90.00°, β = 90.00°, γ = 90.00°
Closest atoms and distances in Å follow each position.
Fractional positions:
1 Ca 0.0000 0.0000 0.0000  2 Li 2.41
2 Li 0.0000 0.5000 0.0000  2 Ca 2.41
3 Bi 0.0000 0.0000 0.5000  2 Ca 2.86
4 Bi 0.5000 0.0000 0.0000  2 Ca 2.86
5 Ti 0.5000 0.5000 0.5000  8 Bi 3.74, 4 Li 4.04